[1]
PrAl2ZnAu: optimized geometry, PBE.

Cell and atoms, written as CIF:
```
data_PrAl2ZnAu
_symmetry_space_group_name_H-M 'I -4 m 2'
_symmetry_Int_Tables_number 119
_symmetry_space_group_name_Hall 'I -4 -2'
_cell_length_a 4.4068
_cell_length_b 4.4068
_cell_length_c 10.5358
_cell_angle_alpha 90.00
_cell_angle_beta 90.00
_cell_angle_gamma 90.00
loop_
_atom_site_label
_atom_site_fract_x
_atom_site_fract_y
_atom_site_fract_z
Pr1 0.0000 0.0000 0.0000
Al1 0.0000 0.0000 0.3782
Zn1 0.0000 0.5000 0.7500
Au1 0.0000 0.5000 0.2500
```

***

[2]
PrAl3ZnAu: optimized geometry, PBE.

Cell and atoms, written as CIF:
```
data_PrAl3ZnAu
_symmetry_space_group_name_H-M 'C m c m'
_symmetry_Int_Tables_number 63
_symmetry_space_group_name_Hall '-C 2c 2'
_cell_length_a 6.4610
_cell_length_b 12.4993
_cell_length_c 6.1015
_cell_angle_alpha 90.00
_cell_angle_beta 90.00
_cell_angle_gamma 90.00
loop_
_atom_site_label
_atom_site_fract_x
_atom_site_fract_y
_atom_site_fract_z
Pr1 0.0000 0.2071 0.2500
Al1 0.0000 0.3591 0.7500
Al2 0.2069 0.0000 0.0000
Zn1 0.0000 0.4311 0.2500
Au1 0.0000 0.1475 0.7500
```

***

[3]
Pr2Al4ZnAu3: optimized geometry, PBE.

Cell and atoms, written as CIF:
```
data_Pr2Al4ZnAu3
_symmetry_space_group_name_H-M 'P -4 m 2'
_symmetry_Int_Tables_number 115
_cell_length_a 4.4007
_cell_length_b 4.4007
_cell_length_c 10.5920
_cell_angle_alpha 90.00
_cell_angle_beta 90.00
_cell_angle_gamma 90.00
loop_
_symmetry_equiv_pos_as_xyz
'x,y,z'
'y,-x,-z'
'-x,-y,z'
'-y,x,-z'
'-x,y,z'
'-y,-x,-z'
'x,-y,z'
'y,x,-z'
loop_
_atom_site_label
_atom_site_fract_x
_atom_site_fract_y
_atom_site_fract_z
Pr1 0.0000 0.5000 0.2459
Al1 0.0000 0.0000 0.5000
Al2 0.0000 0.5000 0.8672
Al3 0.5000 0.5000 0.5000
Zn1 0.5000 0.5000 0.0000
Au1 0.0000 0.0000 0.0000
Au2 0.0000 0.5000 0.6294
```

***

[4]
Pr2Al3ZnAu4: optimized geometry, PBE.

Cell and atoms, written as CIF:
```
data_Pr2Al3ZnAu4
_symmetry_space_group_name_H-M 'P -4 m 2'
_symmetry_Int_Tables_number 115
_cell_length_a 4.4662
_cell_length_b 4.4662
_cell_length_c 10.4247
_cell_angle_alpha 90.00
_cell_angle_beta 90.00
_cell_angle_gamma 90.00
loop_
_symmetry_equiv_pos_as_xyz
'x,y,z'
'y,-x,-z'
'-x,-y,z'
'-y,x,-z'
'-x,y,z'
'-y,-x,-z'
'x,-y,z'
'y,x,-z'
loop_
_atom_site_label
_atom_site_fract_x
_atom_site_fract_y
_atom_site_fract_z
Pr1 0.0000 0.5000 0.2490
Al1 0.0000 0.0000 0.0000
Al2 0.0000 0.5000 0.6291
Zn1 0.5000 0.5000 0.0000
Au1 0.0000 0.0000 0.5000
Au2 0.0000 0.5000 0.8686
Au3 0.5000 0.5000 0.5000
```

***

no.,DFT formation energy (eV/atom)
1,-0.54
2,-0.21
3,-0.68
4,-0.69